# 1
VASP calculation (PBE) on a relaxed structure of Pr4Sm2DyTm2.

a b c (Å): 8.130 8.130 8.080
angles (deg): 107.58 107.58 36.85
Fractional positions:
Pr  0.054  0.054  0.329
Pr  0.278  0.278  0.670
Pr  0.722  0.722  0.330
Pr  0.946  0.946  0.671
Sm  0.388  0.388  0.329
Sm  0.612  0.612  0.671
Dy  0.500  0.500  0.000
Tm  0.167  0.167  0.000
Tm  0.833  0.833  0.000

Computed properties:
The calculation puts the total moment at 0.0 μB/f.u. The symmetry is No. 12. The value obtained for the formation energy is 0.222 eV per formula unit. The value obtained for the density of states at the Fermi level is 14.70 states/eV/f.u. As for the volume: 33.74 Å³ per atom.

=====

# 2
VASP calculation (PBE) on a relaxed structure of Pr2Sm2DyTm.

a b c (Å): 7.081 5.709 9.894
angles (deg): 90.00 90.00 90.00
Fractional positions:
Pr  0.000  0.000  0.000
Pr  0.250  0.500  0.179
Pr  0.500  0.000  0.000
Pr  0.750  0.500  0.821
Sm  0.250  0.000  0.333
Sm  0.250  0.500  0.836
Sm  0.750  0.000  0.667
Sm  0.750  0.500  0.164
Dy  0.250  0.000  0.658
Dy  0.750  0.000  0.342
Tm  0.000  0.500  0.500
Tm  0.500  0.500  0.500

Computed properties:
The calculation puts the total moment at 0.0 μB/f.u. The symmetry is No. 51. The value obtained for the formation energy is 0.368 eV per formula unit. The value obtained for the density of states at the Fermi level is 9.08 states/eV/f.u. As for the volume: 33.33 Å³ per atom.

=====

# 3
VASP calculation (PBE) on a relaxed structure of PrSmDyTm2.

a b c (Å): 7.123 7.123 7.174
angles (deg): 90.00 90.00 107.82
Fractional positions:
Pr  0.230  0.770  0.750
Pr  0.770  0.230  0.250
Sm  0.498  0.502  0.250
Sm  0.502  0.498  0.750
Dy  0.219  0.781  0.250
Dy  0.781  0.219  0.750
Tm  0.187  0.187  0.000
Tm  0.187  0.187  0.500
Tm  0.813  0.813  0.000
Tm  0.813  0.813  0.500

Computed properties:
The calculation puts the total moment at 0.0 μB/f.u. The symmetry is No. 63. The value obtained for the formation energy is 1.870 eV per formula unit. The value obtained for the density of states at the Fermi level is 7.65 states/eV/f.u. As for the volume: 34.65 Å³ per atom.

=====

# 4
VASP calculation (PBE) on a relaxed structure of Pr3SmDy2Tm6.

a b c (Å): 6.189 6.189 11.714
angles (deg): 95.04 95.04 119.98
Fractional positions:
Pr  0.000  0.000  0.000
Pr  0.333  0.667  0.000
Pr  0.667  0.333  0.000
Sm  0.500  0.500  0.500
Dy  0.167  0.833  0.500
Dy  0.833  0.167  0.500
Tm  0.084  0.418  0.254
Tm  0.249  0.249  0.747
Tm  0.418  0.084  0.254
Tm  0.582  0.916  0.746
Tm  0.751  0.751  0.253
Tm  0.916  0.582  0.746

Computed properties:
The calculation puts the total moment at 0.0 μB/f.u. The symmetry is No. 12. The value obtained for the formation energy is 0.264 eV per formula unit. The value obtained for the density of states at the Fermi level is 14.20 states/eV/f.u. As for the volume: 31.88 Å³ per atom.

=====

# 5
VASP calculation (PBE) on a relaxed structure of PrSm6Dy2Tm.

a b c (Å): 8.905 8.905 9.609
angles (deg): 93.49 93.49 117.52
Fractional positions:
Pr  0.027  0.973  0.750
Pr  0.973  0.027  0.250
Sm  0.011  0.563  0.686
Sm  0.121  0.756  0.055
Sm  0.244  0.879  0.445
Sm  0.292  0.511  0.882
Sm  0.437  0.989  0.814
Sm  0.489  0.708  0.618
Sm  0.511  0.292  0.382
Sm  0.563  0.011  0.186
Sm  0.708  0.489  0.118
Sm  0.756  0.121  0.555
Sm  0.879  0.244  0.945
Sm  0.989  0.437  0.314
Dy  0.203  0.305  0.547
Dy  0.305  0.203  0.047
Dy  0.695  0.797  0.953
Dy  0.797  0.695  0.453
Tm  0.411  0.589  0.250
Tm  0.589  0.411  0.750

Computed properties:
The calculation puts the total moment at 0.0 μB/f.u. The symmetry is No. 15. The value obtained for the formation energy is 1.166 eV per formula unit. The value obtained for the density of states at the Fermi level is 13.88 states/eV/f.u. As for the volume: 33.55 Å³ per atom.

=====

# 6
VASP calculation (PBE) on a relaxed structure of Pr4SmDy2Tm.

a b c (Å): 5.152 5.187 10.131
angles (deg): 90.00 90.00 90.00
Fractional positions:
Pr  0.000  0.000  0.248
Pr  0.000  0.000  0.752
Pr  0.500  0.500  0.248
Pr  0.500  0.500  0.752
Sm  0.000  0.500  0.500
Dy  0.000  0.500  0.000
Dy  0.500  0.000  0.500
Tm  0.500  0.000  0.000

Computed properties:
The calculation puts the total moment at 0.0 μB/f.u. The symmetry is No. 47. The value obtained for the formation energy is 0.105 eV per formula unit. The value obtained for the density of states at the Fermi level is 10.55 states/eV/f.u. As for the volume: 33.84 Å³ per atom.

=====

# 7
VASP calculation (PBE) on a relaxed structure of Pr4SmDyTm2.

a b c (Å): 5.154 5.176 10.083
angles (deg): 90.00 90.00 90.00
Fractional positions:
Pr  0.000  0.000  0.248
Pr  0.000  0.000  0.752
Pr  0.500  0.500  0.249
Pr  0.500  0.500  0.751
Sm  0.500  0.000  0.500
Dy  0.000  0.500  0.000
Tm  0.000  0.500  0.500
Tm  0.500  0.000  0.000

Computed properties:
The calculation puts the total moment at 0.0 μB/f.u. The symmetry is No. 47. The value obtained for the formation energy is 0.134 eV per formula unit. The value obtained for the density of states at the Fermi level is 10.45 states/eV/f.u. As for the volume: 33.63 Å³ per atom.

=====

# 8
VASP calculation (PBE) on a relaxed structure of PrSm2Dy2Tm2.

a b c (Å): 6.174 6.174 8.014
angles (deg): 97.39 97.39 48.38
Fractional positions:
Pr  0.000  0.000  0.000
Sm  0.428  0.428  0.285
Sm  0.572  0.572  0.715
Dy  0.143  0.143  0.431
Dy  0.857  0.857  0.569
Tm  0.286  0.286  0.856
Tm  0.714  0.714  0.144

Computed properties:
The calculation puts the total moment at 0.0 μB/f.u. The symmetry is No. 12. The value obtained for the formation energy is 0.138 eV per formula unit. The value obtained for the density of states at the Fermi level is 9.21 states/eV/f.u. As for the volume: 32.30 Å³ per atom.

=====

# 9
VASP calculation (PBE) on a relaxed structure of Pr6SmDy2Tm3.

a b c (Å): 6.296 6.296 11.863
angles (deg): 95.06 95.06 120.00
Fractional positions:
Pr  0.084  0.418  0.752
Pr  0.249  0.249  0.248
Pr  0.418  0.084  0.752
Pr  0.582  0.916  0.248
Pr  0.751  0.751  0.752
Pr  0.916  0.582  0.248
Sm  0.000  0.000  0.500
Dy  0.333  0.667  0.500
Dy  0.667  0.333  0.500
Tm  0.167  0.833  0.000
Tm  0.500  0.500  0.000
Tm  0.833  0.167  0.000

Computed properties:
The calculation puts the total moment at 0.0 μB/f.u. The symmetry is No. 12. The value obtained for the formation energy is 0.171 eV per formula unit. The value obtained for the density of states at the Fermi level is 12.82 states/eV/f.u. As for the volume: 33.41 Å³ per atom.

=====

# 10
VASP calculation (PBE) on a relaxed structure of PrSm2Dy6Tm3.

a b c (Å): 6.162 6.162 11.777
angles (deg): 95.00 95.00 119.95
Fractional positions:
Pr  0.000  0.000  0.000
Sm  0.333  0.667  0.000
Sm  0.667  0.333  0.000
Dy  0.086  0.419  0.255
Dy  0.248  0.248  0.745
Dy  0.419  0.086  0.255
Dy  0.581  0.914  0.745
Dy  0.752  0.752  0.255
Dy  0.914  0.581  0.745
Tm  0.167  0.833  0.500
Tm  0.500  0.500  0.500
Tm  0.833  0.167  0.500

Computed properties:
The calculation puts the total moment at 0.0 μB/f.u. The symmetry is No. 12. The value obtained for the formation energy is 0.249 eV per formula unit. The value obtained for the density of states at the Fermi level is 15.93 states/eV/f.u. As for the volume: 31.79 Å³ per atom.

=====

# 11
VASP calculation (PBE) on a relaxed structure of Pr2SmDy4Tm.

a b c (Å): 9.536 9.536 6.820
angles (deg): 110.94 110.94 88.17
Fractional positions:
Pr  0.000  0.000  0.000
Pr  0.000  0.000  0.500
Pr  0.000  0.500  0.000
Pr  0.500  0.000  0.500
Sm  0.000  0.500  0.500
Sm  0.500  0.000  0.000
Dy  0.256  0.257  0.508
Dy  0.257  0.256  0.008
Dy  0.257  0.743  0.000
Dy  0.257  0.743  0.500
Dy  0.743  0.257  0.000
Dy  0.743  0.257  0.500
Dy  0.743  0.744  0.992
Dy  0.744  0.743  0.492
Tm  0.500  0.500  0.000
Tm  0.500  0.500  0.500

Computed properties:
The calculation puts the total moment at 0.2 μB/f.u. The symmetry is No. 15. The value obtained for the formation energy is 3.292 eV per formula unit. The value obtained for the density of states at the Fermi level is 20.15 states/eV/f.u. As for the volume: 33.60 Å³ per atom.

=====

# 12
VASP calculation (PBE) on a relaxed structure of Pr4SmDy2Tm2.

a b c (Å): 8.098 8.098 8.073
angles (deg): 107.33 107.33 36.76
Fractional positions:
Pr  0.054  0.054  0.330
Pr  0.277  0.277  0.669
Pr  0.723  0.723  0.331
Pr  0.946  0.946  0.670
Sm  0.500  0.500  0.000
Dy  0.388  0.388  0.330
Dy  0.612  0.612  0.670
Tm  0.168  0.168  0.999
Tm  0.832  0.832  0.001

Computed properties:
The calculation puts the total moment at 0.0 μB/f.u. The symmetry is No. 12. The value obtained for the formation energy is 0.201 eV per formula unit. The value obtained for the density of states at the Fermi level is 13.40 states/eV/f.u. As for the volume: 33.42 Å³ per atom.

=====

# 13
VASP calculation (PBE) on a relaxed structure of PrSm2Dy2Tm.

a b c (Å): 6.535 18.041 3.428
angles (deg): 90.00 90.00 90.00
Fractional positions:
Pr  0.000  0.000  0.000
Pr  0.500  0.500  0.500
Sm  0.218  0.188  0.000
Sm  0.282  0.688  0.500
Sm  0.718  0.312  0.500
Sm  0.782  0.812  0.000
Dy  0.214  0.354  0.500
Dy  0.286  0.854  0.000
Dy  0.714  0.146  0.000
Dy  0.786  0.646  0.500
Tm  0.000  0.500  0.000
Tm  0.500  0.000  0.500

Computed properties:
The calculation puts the total moment at 0.0 μB/f.u. The symmetry is No. 58. The value obtained for the formation energy is 1.590 eV per formula unit. The value obtained for the density of states at the Fermi level is 10.09 states/eV/f.u. As for the volume: 33.68 Å³ per atom.

=====

# 14
VASP calculation (PBE) on a relaxed structure of Pr3Sm2Dy6Tm.

a b c (Å): 6.233 6.233 11.873
angles (deg): 95.01 95.01 119.99
Fractional positions:
Pr  0.000  0.000  0.000
Pr  0.333  0.667  0.000
Pr  0.667  0.333  0.000
Sm  0.166  0.834  0.500
Sm  0.834  0.166  0.500
Dy  0.085  0.418  0.253
Dy  0.250  0.250  0.747
Dy  0.418  0.085  0.253
Dy  0.582  0.915  0.747
Dy  0.750  0.750  0.253
Dy  0.915  0.582  0.747
Tm  0.500  0.500  0.500

Computed properties:
The calculation puts the total moment at 0.0 μB/f.u. The symmetry is No. 12. The value obtained for the formation energy is 0.204 eV per formula unit. The value obtained for the density of states at the Fermi level is 15.03 states/eV/f.u. As for the volume: 32.78 Å³ per atom.

=====

# 15
VASP calculation (PBE) on a relaxed structure of Pr2Sm2Dy4Tm.

a b c (Å): 9.577 9.577 9.640
angles (deg): 115.20 115.20 21.83
Fractional positions:
Pr  0.165  0.165  0.000
Pr  0.835  0.835  0.000
Sm  0.353  0.353  0.338
Sm  0.647  0.647  0.662
Dy  0.019  0.019  0.332
Dy  0.315  0.315  0.664
Dy  0.685  0.685  0.336
Dy  0.981  0.981  0.668
Tm  0.500  0.500  0.000

Computed properties:
The calculation puts the total moment at 0.0 μB/f.u. The symmetry is No. 12. The value obtained for the formation energy is 0.047 eV per formula unit. The value obtained for the density of states at the Fermi level is 12.22 states/eV/f.u. As for the volume: 32.91 Å³ per atom.

=====

# 16
VASP calculation (PBE) on a relaxed structure of Pr3SmDy6Tm2.

a b c (Å): 6.210 6.210 11.852
angles (deg): 95.00 95.00 119.98
Fractional positions:
Pr  0.000  0.000  0.000
Pr  0.333  0.667  0.000
Pr  0.667  0.333  0.000
Sm  0.500  0.500  0.500
Dy  0.084  0.418  0.255
Dy  0.248  0.248  0.745
Dy  0.418  0.084  0.255
Dy  0.582  0.916  0.745
Dy  0.752  0.752  0.255
Dy  0.916  0.582  0.745
Tm  0.167  0.833  0.500
Tm  0.833  0.167  0.500

Computed properties:
The calculation puts the total moment at 0.0 μB/f.u. The symmetry is No. 12. The value obtained for the formation energy is 0.246 eV per formula unit. The value obtained for the density of states at the Fermi level is 15.80 states/eV/f.u. As for the volume: 32.49 Å³ per atom.

=====

# 17
VASP calculation (PBE) on a relaxed structure of PrSm2Dy4Tm.

a b c (Å): 9.518 9.518 6.819
angles (deg): 110.99 110.99 88.40
Fractional positions:
Pr  0.000  0.500  0.000
Pr  0.500  0.000  0.500
Sm  0.000  0.000  0.000
Sm  0.000  0.000  0.500
Sm  0.000  0.500  0.500
Sm  0.500  0.000  0.000
Dy  0.254  0.255  0.505
Dy  0.255  0.254  0.005
Dy  0.255  0.745  0.000
Dy  0.255  0.745  0.500
Dy  0.745  0.255  0.000
Dy  0.745  0.255  0.500
Dy  0.745  0.746  0.995
Dy  0.746  0.745  0.495
Tm  0.500  0.500  0.000
Tm  0.500  0.500  0.500

Computed properties:
The calculation puts the total moment at 2.2 μB/f.u. The symmetry is No. 15. The value obtained for the formation energy is 3.353 eV per formula unit. The value obtained for the density of states at the Fermi level is 18.78 states/eV/f.u. As for the volume: 33.43 Å³ per atom.

=====

# 18
VASP calculation (PBE) on a relaxed structure of Pr2SmDy6Tm.

a b c (Å): 8.788 8.788 9.740
angles (deg): 94.60 94.60 117.96
Fractional positions:
Pr  0.195  0.297  0.043
Pr  0.297  0.195  0.543
Pr  0.703  0.805  0.457
Pr  0.805  0.703  0.957
Sm  0.017  0.983  0.250
Sm  0.983  0.017  0.750
Dy  0.019  0.574  0.188
Dy  0.123  0.741  0.557
Dy  0.259  0.877  0.943
Dy  0.295  0.507  0.381
Dy  0.426  0.981  0.312
Dy  0.493  0.705  0.119
Dy  0.507  0.295  0.881
Dy  0.574  0.019  0.688
Dy  0.705  0.493  0.619
Dy  0.741  0.123  0.057
Dy  0.877  0.259  0.443
Dy  0.981  0.426  0.812
Tm  0.407  0.593  0.750
Tm  0.593  0.407  0.250

Computed properties:
The calculation puts the total moment at 0.0 μB/f.u. The symmetry is No. 15. The value obtained for the formation energy is 1.162 eV per formula unit. The value obtained for the density of states at the Fermi level is 13.68 states/eV/f.u. As for the volume: 32.81 Å³ per atom.

=====

# 19
VASP calculation (PBE) on a relaxed structure of PrSm2Dy3Tm6.

a b c (Å): 6.143 6.143 11.677
angles (deg): 95.02 95.02 119.96
Fractional positions:
Pr  0.000  0.000  0.000
Sm  0.333  0.667  0.000
Sm  0.667  0.333  0.000
Dy  0.167  0.833  0.500
Dy  0.500  0.500  0.500
Dy  0.833  0.167  0.500
Tm  0.085  0.419  0.253
Tm  0.249  0.249  0.747
Tm  0.419  0.085  0.253
Tm  0.581  0.915  0.747
Tm  0.751  0.751  0.253
Tm  0.915  0.581  0.747

Computed properties:
The calculation puts the total moment at 0.0 μB/f.u. The symmetry is No. 12. The value obtained for the formation energy is 0.264 eV per formula unit. The value obtained for the density of states at the Fermi level is 15.28 states/eV/f.u. As for the volume: 31.33 Å³ per atom.

=====

# 20
VASP calculation (PBE) on a relaxed structure of Pr2Sm3DyTm6.

a b c (Å): 6.186 6.186 11.712
angles (deg): 95.04 95.04 119.98
Fractional positions:
Pr  0.167  0.833  0.000
Pr  0.833  0.167  0.000
Sm  0.000  0.000  0.500
Sm  0.333  0.667  0.500
Sm  0.667  0.333  0.500
Dy  0.500  0.500  0.000
Tm  0.083  0.416  0.749
Tm  0.251  0.251  0.251
Tm  0.416  0.083  0.749
Tm  0.584  0.917  0.251
Tm  0.749  0.749  0.749
Tm  0.917  0.584  0.251

Computed properties:
The calculation puts the total moment at 0.0 μB/f.u. The symmetry is No. 12. The value obtained for the formation energy is 0.221 eV per formula unit. The value obtained for the density of states at the Fermi level is 13.43 states/eV/f.u. As for the volume: 31.85 Å³ per atom.